{
  "formula": "La3Ge4",
  "functional": "GGA-PBE",
  "state": "optimized geometry",
  "lattice": [[4.1529, 0.0000, 0.0000], [0.0000, 4.6142, 0.0000], [0.0000, 0.0000, 18.8439]],
  "species": ["La", "La", "La", "La", "La", "La", "Ge", "Ge", "Ge", "Ge", "Ge", "Ge", "Ge", "Ge"],
  "frac_coords": [[0.0000, 0.0000, 0.0000], [0.0000, 0.5000, 0.3197], [0.0000, 0.5000, 0.6803], [0.5000, 0.0000, 0.1803], [0.5000, 0.0000, 0.8197], [0.5000, 0.5000, 0.5000], [0.0000, 0.0000, 0.4333], [0.0000, 0.0000, 0.5667], [0.0000, 0.5000, 0.1524], [0.0000, 0.5000, 0.8476], [0.5000, 0.0000, 0.3476], [0.5000, 0.0000, 0.6524], [0.5000, 0.5000, 0.0667], [0.5000, 0.5000, 0.9333]],
  "density_g_cm3": 6.51,
  "energy_ev_per_atom": -5.529,
  "formation_energy_ev_per_atom": -0.78
}

{
  "formula": "CdHg2P",
  "functional": "GGA-PBE",
  "state": "optimized geometry",
  "lattice": [[3.2216, 0.0000, 0.0000], [0.0000, 3.2216, 0.0000], [0.0000, 0.0000, 8.4660]],
  "species": ["Cd", "Hg", "Hg", "P"],
  "frac_coords": [[0.0000, 0.0000, 0.0000], [0.5000, 0.5000, 0.2683], [0.5000, 0.5000, 0.7317], [0.0000, 0.0000, 0.5000]],
  "density_g_cm3": 10.29,
  "energy_ev_per_atom": -1.324,
  "formation_energy_ev_per_atom": 0.41,
  "relative_energy_mev_per_atom": 332
}

{
  "formula": "ScCrNi",
  "functional": "GGA-PBE",
  "state": "optimized geometry",
  "lattice": [[5.9894, 0.0000, 0.0000], [0.0000, 5.9894, 0.0000], [0.0000, 0.0000, 5.9894]],
  "species": ["Sc", "Sc", "Sc", "Sc", "Cr", "Cr", "Cr", "Cr", "Ni", "Ni", "Ni", "Ni"],
  "frac_coords": [[0.0000, 0.0000, 0.0000], [0.0000, 0.5000, 0.5000], [0.5000, 0.0000, 0.5000], [0.5000, 0.5000, 0.0000], [0.0000, 0.0000, 0.5000], [0.0000, 0.5000, 0.0000], [0.5000, 0.0000, 0.0000], [0.5000, 0.5000, 0.5000], [0.2500, 0.2500, 0.2500], [0.2500, 0.7500, 0.7500], [0.7500, 0.2500, 0.7500], [0.7500, 0.7500, 0.2500]],
  "density_g_cm3": 4.81,
  "energy_ev_per_atom": -7.026,
  "formation_energy_ev_per_atom": 0.22,
  "relative_energy_mev_per_atom": 126
}

{
  "formula": "Li2PmLu",
  "functional": "GGA-PBE",
  "state": "optimized geometry",
  "lattice": [[7.4378, 0.0000, 0.0000], [0.0000, 7.4378, 0.0000], [0.0000, 0.0000, 7.4378]],
  "species": ["Li", "Li", "Li", "Li", "Li", "Li", "Li", "Li", "Pm", "Pm", "Pm", "Pm", "Lu", "Lu", "Lu", "Lu"],
  "frac_coords": [[0.2500, 0.2500, 0.2500], [0.2500, 0.2500, 0.7500], [0.2500, 0.7500, 0.2500], [0.2500, 0.7500, 0.7500], [0.7500, 0.2500, 0.2500], [0.7500, 0.2500, 0.7500], [0.7500, 0.7500, 0.2500], [0.7500, 0.7500, 0.7500], [0.0000, 0.0000, 0.0000], [0.0000, 0.5000, 0.5000], [0.5000, 0.0000, 0.5000], [0.5000, 0.5000, 0.0000], [0.0000, 0.0000, 0.5000], [0.0000, 0.5000, 0.0000], [0.5000, 0.0000, 0.0000], [0.5000, 0.5000, 0.5000]],
  "density_g_cm3": 5.39,
  "energy_ev_per_atom": -3.120,
  "formation_energy_ev_per_atom": 0.15,
  "relative_energy_mev_per_atom": 0
}

{
  "formula": "LaAs2Ru",
  "functional": "GGA-PBE",
  "state": "optimized geometry",
  "lattice": [[3.5818, 0.0000, 0.0000], [0.0000, 3.6588, 0.0000], [0.0000, 0.0000, 13.0523]],
  "species": ["La", "La", "As", "As", "As", "As", "Ru", "Ru"],
  "frac_coords": [[0.0000, 0.0000, 0.0000], [0.5000, 0.5000, 0.5000], [0.0000, 0.0000, 0.3781], [0.0000, 0.5000, 0.1834], [0.5000, 0.0000, 0.6834], [0.5000, 0.5000, 0.8781], [0.0000, 0.5000, 0.7521], [0.5000, 0.0000, 0.2521]],
  "density_g_cm3": 7.57,
  "energy_ev_per_atom": -6.375,
  "formation_energy_ev_per_atom": -0.50,
  "relative_energy_mev_per_atom": 410
}

{
  "formula": "As3BrN",
  "functional": "GGA-PBE",
  "state": "optimized geometry",
  "lattice": [[5.0427, 0.0000, 0.0000], [0.0000, 5.0427, 0.0000], [0.0000, 0.0000, 5.0427]],
  "species": ["As", "As", "As", "Br", "N"],
  "frac_coords": [[0.0000, 0.0000, 0.5000], [0.0000, 0.5000, 0.0000], [0.5000, 0.0000, 0.0000], [0.0000, 0.0000, 0.0000], [0.5000, 0.5000, 0.5000]],
  "density_g_cm3": 4.13,
  "energy_ev_per_atom": -2.338,
  "formation_energy_uncorrected_ev_per_atom": 2.45,
  "relative_energy_mev_per_atom": 1471
}

{
  "formula": "Tb7NdMg2",
  "functional": "GGA-PBE",
  "state": "optimized geometry",
  "lattice": [[4.3727, -8.1062, 0.0000], [4.3727, 8.1062, 0.0000], [0.0000, 0.0000, 5.3793]],
  "species": ["Tb", "Tb", "Tb", "Tb", "Tb", "Tb", "Tb", "Nd", "Mg", "Mg"],
  "frac_coords": [[0.0000, 0.0000, 0.0000], [0.2030, 0.4319, 0.0000], [0.2854, 0.7146, 0.5000], [0.4319, 0.2030, 0.0000], [0.5681, 0.7970, 0.0000], [0.7146, 0.2854, 0.5000], [0.7970, 0.5681, 0.0000], [0.5000, 0.5000, 0.5000], [0.2029, 0.7971, 0.0000], [0.7971, 0.2029, 0.0000]],
  "density_g_cm3": 5.68,
  "energy_ev_per_atom": -3.461,
  "formation_energy_ev_per_atom": 0.58
}

{
  "formula": "YTa2AsPd",
  "functional": "GGA-PBE",
  "state": "optimized geometry",
  "lattice": [[4.9481, 0.0000, 0.0000], [0.0000, 4.9481, 0.0000], [0.0000, 0.0000, 5.0943]],
  "species": ["Y", "Ta", "Ta", "As", "Pd"],
  "frac_coords": [[0.0000, 0.0000, 0.0000], [0.0000, 0.5000, 0.0000], [0.5000, 0.0000, 0.0000], [0.0000, 0.0000, 0.5000], [0.5000, 0.5000, 0.5000]],
  "density_g_cm3": 8.42,
  "energy_ev_per_atom": -5.952,
  "formation_energy_ev_per_atom": 2.05
}

{
  "formula": "TbTm3In4",
  "functional": "GGA-PBE",
  "state": "optimized geometry",
  "lattice": [[3.4117, 0.0000, 0.0000], [0.0000, 7.0154, 0.0000], [0.0000, 0.0000, 18.6498]],
  "species": ["Tb", "Tb", "Tm", "Tm", "Tm", "Tm", "Tm", "Tm", "In", "In", "In", "In", "In", "In", "In", "In"],
  "frac_coords": [[0.0000, 0.0000, 0.0000], [0.5000, 0.5000, 0.5000], [0.0000, 0.0000, 0.5000], [0.0000, 0.5000, 0.2786], [0.0000, 0.5000, 0.7214], [0.5000, 0.0000, 0.2214], [0.5000, 0.0000, 0.7786], [0.5000, 0.5000, 0.0000], [0.0000, 0.2864, 0.1274], [0.0000, 0.2864, 0.8726], [0.0000, 0.7136, 0.1274], [0.0000, 0.7136, 0.8726], [0.5000, 0.2136, 0.3726], [0.5000, 0.2136, 0.6274], [0.5000, 0.7864, 0.3726], [0.5000, 0.7864, 0.6274]],
  "density_g_cm3": 8.37,
  "energy_ev_per_atom": -3.910,
  "formation_energy_ev_per_atom": -0.29,
  "relative_energy_mev_per_atom": 151
}

{
  "formula": "BeSi2Ir",
  "functional": "GGA-PBE",
  "state": "optimized geometry",
  "lattice": [[2.9716, 0.0000, 0.0000], [0.0000, 4.1527, 0.0000], [-1.4751, 0.0000, 4.4382]],
  "species": ["Be", "Si", "Si", "Ir"],
  "frac_coords": [[0.0000, 0.0000, 0.0000], [0.3709, 0.5000, 0.2179], [0.6291, 0.5000, 0.7821], [0.5000, 0.0000, 0.5000]],
  "density_g_cm3": 7.80,
  "energy_ev_per_atom": -6.023,
  "formation_energy_uncorrected_ev_per_atom": -0.16
}